{
  "formula": "NaCaPtPb",
  "functional": "PBE",
  "state": "relaxed",
  "cell": [[0.0000, 3.5552, 3.5552], [3.5552, 0.0000, 3.5552], [3.5552, 3.5552, 0.0000]],
  "species": ["Na", "Ca", "Pt", "Pb"],
  "frac_coords": [[0.0000, 0.0000, 0.0000], [0.2500, 0.2500, 0.2500], [0.5000, 0.5000, 0.5000], [0.7500, 0.7500, 0.7500]],
  "e_tot_ry_per_atom": -0.2735,
  "e_form_mev_per_atom": -453
}